(1)
Ba3Zn2, optimized geometry, DFT GGA-PBEsol; M_tot = 0.0 Bohr magnetons per cell; D(E_F) = 6.13 states/eV per cell; energy of formation from the pure elements = -0.229 eV per formula unit
1.0
-4.711 -3.012 0.935
2.300 0.130 -5.181
3.836 -5.515 1.564
Ba Zn
3 2
direct
0.333 0.667 0.326
0.000 0.000 0.000
0.667 0.333 0.674
0.667 0.333 0.156
0.333 0.667 0.844

(2)
BaZrZn2, optimized geometry, DFT GGA-PBEsol; M_tot = 0.0 Bohr magnetons per cell; D(E_F) = 2.74 states/eV per cell; energy of formation from the pure elements = -0.379 eV per formula unit; offset from the most stable computed form = 0 meV per atom
1.0
3.480 0.000 0.000
0.000 3.480 0.000
0.000 0.000 7.650
Zn Zr Ba
2 1 1
direct
0.000 0.000 0.185
0.000 0.000 0.815
0.500 0.500 0.000
0.500 0.500 0.500

(3)
Ba2ZrZn, optimized geometry, DFT GGA-PBEsol; M_tot = 0.0 Bohr magnetons per cell; D(E_F) = 5.42 states/eV per cell; energy of formation from the pure elements = 0.625 eV per formula unit
1.0
3.664 0.000 0.000
0.000 3.664 0.000
0.000 0.000 9.710
Zn Zr Ba
1 1 2
direct
0.000 0.000 0.559
0.500 0.500 0.674
0.500 0.500 0.322
0.000 0.000 0.945

(4)
Ba2ZrZn, optimized geometry, DFT GGA-PBEsol; M_tot = 0.0 Bohr magnetons per cell; D(E_F) = 4.11 states/eV per cell; energy of formation from the pure elements = 1.906 eV per formula unit
1.0
-1.516 -3.229 0.819
1.611 -3.105 -1.079
5.741 -2.411 9.305
Ba Zr Zn
2 1 1
direct
0.246 0.246 0.262
0.754 0.754 0.738
0.000 0.000 0.000
0.500 0.500 0.500